one) Below is a relaxed structure of Tb7Sm5, with properties calculated at the PBE level.

```
Tb7Sm5
1.0
-4.969 -2.157 -2.035
3.634 -3.240 2.787
-7.355 6.536 11.032
Sm Tb
5 7
Direct
0.623 0.246 0.800
0.138 0.276 0.437
0.377 0.754 0.200
0.000 0.000 0.000
0.862 0.724 0.563
0.758 0.516 0.328
0.958 0.915 0.787
0.042 0.085 0.213
0.500 0.000 0.500
0.682 0.363 0.082
0.242 0.484 0.672
0.318 0.637 0.918
```

SG ... C2/m (12)
Volume ... 33.2 A^3/atom
Density of states at the Fermi level ... 21.9 states/eV/f.u.

two) Below is a relaxed structure of Tb7Sm5, with properties calculated at the PBE level.

```
Tb7Sm5
1.0
3.558 0.000 0.561
1.426 9.075 2.522
-0.096 0.202 12.173
Tb Sm
7 5
Direct
0.500 0.500 0.500
0.362 0.028 0.249
0.972 0.305 0.750
0.666 0.666 0.001
0.334 0.334 0.999
0.638 0.972 0.751
0.028 0.695 0.250
0.834 0.833 0.499
0.695 0.361 0.249
0.000 0.000 0.000
0.166 0.167 0.501
0.305 0.639 0.751
```

SG ... C2/m (12)
Volume ... 32.7 A^3/atom
Density of states at the Fermi level ... 15.9 states/eV/f.u.

two) (0.182 eV/atom below the next structure)